(1)
VASP calculation (GGA-PBEsol) on a geometry-optimized YAu5 structure.

Values from the calculation:
Raw total energy (eV for the cell shown): -29.033
Energy of formation from the pure elements (kJ per mole of atoms): -41.7
Space-group type: P-62m (189)

a = 5.0826 Å, b = 5.0826 Å, c = 4.9295 Å
α = 90.00°, β = 90.00°, γ = 120.00°
Sites, in units of the cell vectors:
Y1 0.0000 0.0000 0.0000
Au1 0.0000 0.3380 0.5000
Au2 0.3333 0.6667 0.0000
Au3 0.3380 0.0000 0.5000
Au4 0.6620 0.6620 0.5000
Au5 0.6667 0.3333 0.0000

=====

(2)
VASP calculation (GGA-PBEsol) on a geometry-optimized Y5Au3 structure.

Values from the calculation:
Raw total energy (eV for the cell shown): -101.946
Energy of formation from the pure elements (kJ per mole of atoms): -61.4
Space-group type: I4/mcm (140)
ΔE to the lowest computed polymorph (meV/atom): 21

a = 8.5895 Å, b = 8.5895 Å, c = 8.5895 Å
α = 97.24°, β = 97.24°, γ = 138.40°
Sites, in units of the cell vectors:
Y1 0.0820 0.7904 0.8724
Y2 0.2096 0.0820 0.2916
Y3 0.2500 0.7500 0.5000
Y4 0.2904 0.5820 0.8724
Y5 0.4180 0.2904 0.7084
Y6 0.5820 0.7096 0.2916
Y7 0.7096 0.4180 0.1276
Y8 0.7500 0.2500 0.5000
Y9 0.7904 0.9180 0.7084
Y10 0.9180 0.2096 0.1276
Au1 0.1591 0.3409 0.5000
Au2 0.2500 0.2500 0.0000
Au3 0.3409 0.8409 0.1819
Au4 0.6591 0.1591 0.8181
Au5 0.7500 0.7500 0.0000
Au6 0.8409 0.6591 0.5000

=====

(3)
VASP calculation (GGA-PBEsol) on a geometry-optimized Y3Au structure.

Values from the calculation:
Raw total energy (eV for the cell shown): -105.110
Energy of formation from the pure elements (kJ per mole of atoms): -45.5
Space-group type: Pnma (62)

a = 6.8815 Å, b = 9.6224 Å, c = 6.5749 Å
α = 90.00°, β = 90.00°, γ = 90.00°
Sites, in units of the cell vectors:
Y1 0.0136 0.2500 0.1181
Y2 0.1953 0.0551 0.6934
Y3 0.1953 0.4449 0.6934
Y4 0.3047 0.5551 0.1934
Y5 0.3047 0.9449 0.1934
Y6 0.4864 0.7500 0.6181
Y7 0.5136 0.2500 0.3819
Y8 0.6953 0.0551 0.8066
Y9 0.6953 0.4449 0.8066
Y10 0.8047 0.5551 0.3066
Y11 0.8047 0.9449 0.3066
Y12 0.9864 0.7500 0.8819
Au1 0.0892 0.7500 0.4594
Au2 0.4108 0.2500 0.9594
Au3 0.5892 0.7500 0.0406
Au4 0.9108 0.2500 0.5406

=====

(4)
VASP calculation (GGA-PBEsol) on a geometry-optimized Y3Au structure.

Values from the calculation:
Raw total energy (eV for the cell shown): -24.967
Energy of formation from the pure elements (kJ per mole of atoms): -13.9
Space-group type: Fm-3m (225)

a = 5.2114 Å, b = 5.2114 Å, c = 5.2114 Å
α = 60.00°, β = 60.00°, γ = 60.00°
Sites, in units of the cell vectors:
Y1 0.0000 0.0000 0.0000
Y2 0.2500 0.2500 0.2500
Y3 0.7500 0.7500 0.7500
Au1 0.5000 0.5000 0.5000